[1]
Entry from the Alexandria database: crystalline AsRu2Cl at its relaxed geometry (PBE).

Summary:
**DOS(E_F)**: 1.16 states/eV per atom
**Mass density**: 7.3 g/cm³

a = 2.973 Å, b = 3.827 Å, c = 6.242 Å
α = 90.00°, β = 90.00°, γ = 90.00°
Fractional positions:
As: 0.000 0.000 0.000
Ru: 0.000 0.000 0.616
Ru: 0.500 0.500 0.826
Cl: 0.500 0.500 0.452


[2]
Entry from the Alexandria database: crystalline AsRu2Cl at its relaxed geometry (PBE).

Summary:
**DOS(E_F)**: 0.86 states/eV per atom
**Mass density**: 8.2 g/cm³

a = 2.895 Å, b = 4.042 Å, c = 5.398 Å
α = 90.00°, β = 90.00°, γ = 90.00°
Fractional positions:
As: 0.000 0.000 0.000
Ru: 0.000 0.500 0.500
Ru: 0.500 0.500 0.000
Cl: 0.500 0.000 0.500


[3]
Entry from the Alexandria database: crystalline AsRu2Cl at its relaxed geometry (PBE).

Summary:
**DOS(E_F)**: 1.08 states/eV per atom
**Mass density**: 7.2 g/cm³

a = 2.934 Å, b = 2.934 Å, c = 28.925 Å
α = 90.00°, β = 90.00°, γ = 120.00°
Fractional positions:
As: 0.000 0.000 0.000
As: 0.333 0.667 0.667
As: 0.667 0.333 0.333
Ru: 0.000 0.000 0.268
Ru: 0.000 0.000 0.528
Ru: 0.333 0.667 0.195
Ru: 0.333 0.667 0.935
Ru: 0.667 0.333 0.602
Ru: 0.667 0.333 0.862
Cl: 0.000 0.000 0.798
Cl: 0.333 0.667 0.465
Cl: 0.667 0.333 0.132


[4]
Entry from the Alexandria database: crystalline AsRuCl4 at its relaxed geometry (PBE).

Summary:
**DOS(E_F)**: 1.05 states/eV per atom
**Mass density**: 4.0 g/cm³

a = 5.696 Å, b = 5.696 Å, c = 5.696 Å
α = 60.00°, β = 60.00°, γ = 60.00°
Fractional positions:
As: 0.000 0.000 0.000
Ru: 0.250 0.250 0.250
Cl: 0.128 0.624 0.624
Cl: 0.624 0.128 0.624
Cl: 0.624 0.624 0.128
Cl: 0.624 0.624 0.624


[5]
Entry from the Alexandria database: crystalline AsRu3Cl at its relaxed geometry (PBE).

Summary:
**DOS(E_F)**: 1.54 states/eV per atom
**Mass density**: 8.1 g/cm³

a = 4.385 Å, b = 4.385 Å, c = 4.385 Å
α = 90.00°, β = 90.00°, γ = 90.00°
Fractional positions:
As: 0.000 0.000 0.000
Ru: 0.000 0.500 0.500
Ru: 0.500 0.000 0.500
Ru: 0.500 0.500 0.000
Cl: 0.500 0.500 0.500


[6]
Entry from the Alexandria database: crystalline AsRu2Cl at its relaxed geometry (PBE).

Summary:
**DOS(E_F)**: 0.77 states/eV per atom
**Mass density**: 8.0 g/cm³

a = 2.910 Å, b = 5.458 Å, c = 8.143 Å
α = 90.00°, β = 90.00°, γ = 90.00°
Fractional positions:
As: 0.000 0.000 0.000
As: 0.500 0.500 0.500
Ru: 0.000 0.500 0.263
Ru: 0.000 0.500 0.737
Ru: 0.500 0.000 0.237
Ru: 0.500 0.000 0.763
Cl: 0.000 0.000 0.500
Cl: 0.500 0.500 0.000


[7]
Entry from the Alexandria database: crystalline AsRu2Cl at its relaxed geometry (PBE).

Summary:
**DOS(E_F)**: 1.43 states/eV per atom
**Mass density**: 8.4 g/cm³

a = 3.584 Å, b = 3.584 Å, c = 9.606 Å
α = 90.00°, β = 90.00°, γ = 90.00°
Fractional positions:
As: 0.000 0.000 0.000
As: 0.500 0.500 0.500
Ru: 0.000 0.000 0.500
Ru: 0.000 0.500 0.250
Ru: 0.500 0.000 0.750
Ru: 0.500 0.500 0.000
Cl: 0.000 0.500 0.750
Cl: 0.500 0.000 0.250


[8]
Entry from the Alexandria database: crystalline AsRu2Cl at its relaxed geometry (PBE).

Summary:
**DOS(E_F)**: 0.97 states/eV per atom
**Mass density**: 8.3 g/cm³

a = 6.299 Å, b = 6.299 Å, c = 6.299 Å
α = 90.00°, β = 90.00°, γ = 90.00°
Fractional positions:
As: 0.000 0.000 0.000
As: 0.000 0.500 0.500
As: 0.500 0.000 0.500
As: 0.500 0.500 0.000
Ru: 0.000 0.000 0.500
Ru: 0.000 0.500 0.000
Ru: 0.250 0.250 0.250
Ru: 0.250 0.750 0.750
Ru: 0.500 0.000 0.000
Ru: 0.500 0.500 0.500
Ru: 0.750 0.250 0.750
Ru: 0.750 0.750 0.250
Cl: 0.250 0.250 0.750
Cl: 0.250 0.750 0.250
Cl: 0.750 0.250 0.250
Cl: 0.750 0.750 0.750


[9]
Entry from the Alexandria database: crystalline AsRu2Cl at its relaxed geometry (PBE).

Summary:
**DOS(E_F)**: 0.92 states/eV per atom
**Mass density**: 7.8 g/cm³

a = 14.010 Å, b = 3.054 Å, c = 3.099 Å
α = 90.00°, β = 91.28°, γ = 90.00°
Fractional positions:
As: 0.000 0.000 0.000
As: 0.500 0.500 0.000
Ru: 0.092 0.500 0.506
Ru: 0.398 0.000 0.494
Ru: 0.592 0.000 0.506
Ru: 0.898 0.500 0.494
Cl: 0.260 0.500 0.432
Cl: 0.760 0.000 0.432


[10]
Entry from the Alexandria database: crystalline AsRu2Cl at its relaxed geometry (PBE).

Summary:
**DOS(E_F)**: 1.33 states/eV per atom
**Mass density**: 8.5 g/cm³

a = 3.034 Å, b = 3.034 Å, c = 22.919 Å
α = 90.00°, β = 90.00°, γ = 120.00°
Fractional positions:
As: 0.000 0.000 0.000
As: 0.333 0.667 0.667
As: 0.667 0.333 0.333
Ru: 0.000 0.000 0.255
Ru: 0.000 0.000 0.745
Ru: 0.333 0.667 0.411
Ru: 0.333 0.667 0.922
Ru: 0.667 0.333 0.078
Ru: 0.667 0.333 0.589
Cl: 0.000 0.000 0.500
Cl: 0.333 0.667 0.167
Cl: 0.667 0.333 0.833


[11]
Entry from the Alexandria database: crystalline AsRu2Cl at its relaxed geometry (PBE).

Summary:
**DOS(E_F)**: 0.40 states/eV per atom
**Mass density**: 8.8 g/cm³

a = 6.171 Å, b = 6.171 Å, c = 6.171 Å
α = 90.00°, β = 90.00°, γ = 90.00°
Fractional positions:
As: 0.000 0.000 0.000
As: 0.000 0.500 0.500
As: 0.500 0.000 0.500
As: 0.500 0.500 0.000
Ru: 0.250 0.250 0.250
Ru: 0.250 0.250 0.750
Ru: 0.250 0.750 0.250
Ru: 0.250 0.750 0.750
Ru: 0.750 0.250 0.250
Ru: 0.750 0.250 0.750
Ru: 0.750 0.750 0.250
Ru: 0.750 0.750 0.750
Cl: 0.000 0.000 0.500
Cl: 0.000 0.500 0.000
Cl: 0.500 0.000 0.000
Cl: 0.500 0.500 0.500


[12]
Entry from the Alexandria database: crystalline AsRu2Cl at its relaxed geometry (PBE).

Summary:
**DOS(E_F)**: 0.91 states/eV per atom
**Mass density**: 6.5 g/cm³

a = 5.362 Å, b = 5.362 Å, c = 11.062 Å
α = 90.00°, β = 90.00°, γ = 90.00°
Fractional positions:
As: 0.000 0.000 0.000
As: 0.000 0.500 0.250
As: 0.500 0.000 0.750
As: 0.500 0.500 0.500
Ru: 0.245 0.250 0.625
Ru: 0.250 0.745 0.875
Ru: 0.250 0.755 0.375
Ru: 0.255 0.250 0.125
Ru: 0.745 0.750 0.125
Ru: 0.750 0.245 0.375
Ru: 0.750 0.255 0.875
Ru: 0.755 0.750 0.625
Cl: 0.000 0.000 0.500
Cl: 0.000 0.500 0.750
Cl: 0.500 0.000 0.250
Cl: 0.500 0.500 0.000


[13]
Entry from the Alexandria database: crystalline AsRu2Cl at its relaxed geometry (PBE).

Summary:
**DOS(E_F)**: 0.81 states/eV per atom
**Mass density**: 6.8 g/cm³

a = 2.872 Å, b = 3.595 Å, c = 7.526 Å
α = 90.00°, β = 100.91°, γ = 90.00°
Fractional positions:
As: 0.000 0.000 0.000
Ru: 0.410 0.500 0.820
Ru: 0.827 0.000 0.652
Cl: 0.714 0.500 0.425


[14]
Entry from the Alexandria database: crystalline AsRu2Cl at its relaxed geometry (PBE).

Summary:
**DOS(E_F)**: 1.43 states/eV per atom
**Mass density**: 7.2 g/cm³

a = 2.839 Å, b = 5.112 Å, c = 9.924 Å
α = 90.00°, β = 90.00°, γ = 90.00°
Fractional positions:
As: 0.000 0.000 0.000
As: 0.500 0.500 0.000
Ru: 0.000 0.000 0.567
Ru: 0.000 0.500 0.793
Ru: 0.500 0.000 0.793
Ru: 0.500 0.500 0.567
Cl: 0.000 0.500 0.373
Cl: 0.500 0.000 0.373


[15]
Entry from the Alexandria database: crystalline AsRu2Cl at its relaxed geometry (PBE).

Summary:
**DOS(E_F)**: 1.36 states/eV per atom
**Mass density**: 8.4 g/cm³

a = 3.050 Å, b = 3.050 Å, c = 6.604 Å
α = 90.00°, β = 90.00°, γ = 90.00°
Fractional positions:
As: 0.000 0.000 0.000
Ru: 0.500 0.500 0.210
Ru: 0.500 0.500 0.790
Cl: 0.000 0.000 0.500


[16]
Entry from the Alexandria database: crystalline AsRu2Cl at its relaxed geometry (PBE).

Summary:
**DOS(E_F)**: 0.61 states/eV per atom
**Mass density**: 7.1 g/cm³

a = 7.299 Å, b = 3.022 Å, c = 7.324 Å
α = 90.00°, β = 115.68°, γ = 90.00°
Fractional positions:
As: 0.000 0.000 0.000
As: 0.500 0.500 0.000
Ru: 0.136 0.500 0.823
Ru: 0.364 0.000 0.177
Ru: 0.636 0.000 0.823
Ru: 0.864 0.500 0.177
Cl: 0.000 0.000 0.500
Cl: 0.500 0.500 0.500


[17]
Entry from the Alexandria database: crystalline AsRu2Cl at its relaxed geometry (PBE).

Summary:
**DOS(E_F)**: 1.30 states/eV per atom
**Mass density**: 8.1 g/cm³

a = 3.001 Å, b = 5.352 Å, c = 8.012 Å
α = 90.00°, β = 90.00°, γ = 90.00°
Fractional positions:
As: 0.000 0.000 0.000
As: 0.500 0.500 0.000
Ru: 0.000 0.500 0.233
Ru: 0.000 0.500 0.767
Ru: 0.500 0.000 0.233
Ru: 0.500 0.000 0.767
Cl: 0.000 0.000 0.500
Cl: 0.500 0.500 0.500


[18]
Entry from the Alexandria database: crystalline AsRu2Cl at its relaxed geometry (PBE).

Summary:
**DOS(E_F)**: 1.05 states/eV per atom
**Mass density**: 7.2 g/cm³

a = 2.894 Å, b = 2.894 Å, c = 8.648 Å
α = 90.00°, β = 90.00°, γ = 90.00°
Fractional positions:
As: 0.000 0.000 0.000
Ru: 0.000 0.000 0.606
Ru: 0.500 0.500 0.807
Cl: 0.500 0.500 0.414


[19]
Entry from the Alexandria database: crystalline AsRuSCl2 at its relaxed geometry (PBE).

Summary:
**DOS(E_F)**: 0.80 states/eV per atom
**Mass density**: 4.5 g/cm³

a = 4.761 Å, b = 4.761 Å, c = 4.546 Å
α = 90.00°, β = 90.00°, γ = 90.00°
Fractional positions:
As: 0.000 0.000 0.000
Ru: 0.500 0.500 0.500
S: 0.500 0.500 0.000
Cl: 0.000 0.500 0.500
Cl: 0.500 0.000 0.500


[20]
Entry from the Alexandria database: crystalline AsRuSCl2 at its relaxed geometry (PBE).

Summary:
**DOS(E_F)**: 1.13 states/eV per atom
**Mass density**: 3.9 g/cm³

a = 4.950 Å, b = 4.950 Å, c = 4.890 Å
α = 90.00°, β = 90.00°, γ = 90.00°
Fractional positions:
As: 0.000 0.000 0.000
Ru: 0.500 0.500 0.500
S: 0.000 0.000 0.500
Cl: 0.000 0.500 0.000
Cl: 0.500 0.000 0.000


[21]
Entry from the Alexandria database: crystalline ScAsRu2Cl at its relaxed geometry (PBE).

Summary:
**DOS(E_F)**: 0.97 states/eV per atom
**Mass density**: 6.3 g/cm³

a = 4.303 Å, b = 4.303 Å, c = 5.098 Å
α = 90.00°, β = 90.00°, γ = 90.00°
Fractional positions:
Sc: 0.000 0.000 0.000
As: 0.500 0.500 0.000
Ru: 0.000 0.500 0.500
Ru: 0.500 0.000 0.500
Cl: 0.500 0.500 0.500


[22]
Entry from the Alexandria database: crystalline AsRuWCl2 at its relaxed geometry (PBE).

Summary:
**DOS(E_F)**: 1.08 states/eV per atom
**Mass density**: 6.5 g/cm³

a = 4.617 Å, b = 4.617 Å, c = 5.198 Å
α = 90.00°, β = 90.00°, γ = 90.00°
Fractional positions:
As: 0.000 0.000 0.000
Ru: 0.500 0.500 0.000
W: 0.000 0.000 0.500
Cl: 0.000 0.500 0.500
Cl: 0.500 0.000 0.500


[23]
Entry from the Alexandria database: crystalline AsS2Cl at its relaxed geometry (PBE).

Summary:
**DOS(E_F)**: 1.21 states/eV per atom
**Mass density**: 4.1 g/cm³

a = 6.555 Å, b = 6.555 Å, c = 6.555 Å
α = 90.00°, β = 90.00°, γ = 90.00°
Fractional positions:
As: 0.000 0.000 0.000
As: 0.000 0.500 0.500
As: 0.500 0.000 0.500
As: 0.500 0.500 0.000
S: 0.250 0.250 0.250
S: 0.250 0.250 0.750
S: 0.250 0.750 0.250
S: 0.250 0.750 0.750
S: 0.750 0.250 0.250
S: 0.750 0.250 0.750
S: 0.750 0.750 0.250
S: 0.750 0.750 0.750
Cl: 0.000 0.000 0.500
Cl: 0.000 0.500 0.000
Cl: 0.500 0.000 0.000
Cl: 0.500 0.500 0.500


[24]
Entry from the Alexandria database: crystalline As3S2Cl4 at its relaxed geometry (PBE).

Summary:
**Mass density**: 2.2 g/cm³

a = 10.548 Å, b = 10.548 Å, c = 6.557 Å
α = 108.09°, β = 108.09°, γ = 91.00°
Fractional positions:
As: 0.157 0.843 0.750
As: 0.213 0.290 0.403
As: 0.290 0.213 0.903
As: 0.710 0.787 0.097
As: 0.787 0.710 0.597
As: 0.843 0.157 0.250
S: 0.117 0.166 0.021
S: 0.166 0.117 0.521
S: 0.834 0.883 0.479
S: 0.883 0.834 0.979
Cl: 0.174 0.673 0.467
Cl: 0.282 0.432 0.945
Cl: 0.327 0.826 0.033
Cl: 0.432 0.282 0.445
Cl: 0.568 0.718 0.555
Cl: 0.673 0.174 0.967
Cl: 0.718 0.568 0.055
Cl: 0.826 0.327 0.533


[25]
Entry from the Alexandria database: crystalline AsSCl2 at its relaxed geometry (PBE).

Summary:
**DOS(E_F)**: 0.62 states/eV per atom
**Mass density**: 3.6 g/cm³

a = 3.230 Å, b = 3.230 Å, c = 27.306 Å
α = 90.00°, β = 90.00°, γ = 120.00°
Fractional positions:
As: 0.000 0.000 0.000
As: 0.333 0.667 0.667
As: 0.667 0.333 0.333
S: 0.000 0.000 0.500
S: 0.333 0.667 0.167
S: 0.667 0.333 0.833
Cl: 0.000 0.000 0.417
Cl: 0.000 0.000 0.583
Cl: 0.333 0.667 0.084
Cl: 0.333 0.667 0.250
Cl: 0.667 0.333 0.750
Cl: 0.667 0.333 0.916


[26]
Entry from the Alexandria database: crystalline AsSCl2 at its relaxed geometry (PBE).

Summary:
**DOS(E_F)**: 0.68 states/eV per atom
**Mass density**: 3.4 g/cm³

a = 3.193 Å, b = 3.193 Å, c = 29.200 Å
α = 90.00°, β = 90.00°, γ = 120.00°
Fractional positions:
As: 0.000 0.000 0.000
As: 0.333 0.667 0.667
As: 0.667 0.333 0.333
S: 0.000 0.000 0.500
S: 0.333 0.667 0.167
S: 0.667 0.333 0.833
Cl: 0.000 0.000 0.079
Cl: 0.000 0.000 0.921
Cl: 0.333 0.667 0.588
Cl: 0.333 0.667 0.746
Cl: 0.667 0.333 0.254
Cl: 0.667 0.333 0.412


[27]
Entry from the Alexandria database: crystalline AsS2Cl at its relaxed geometry (PBE).

Summary:
**DOS(E_F)**: 0.12 states/eV per atom
**Mass density**: 3.2 g/cm³

a = 6.898 Å, b = 6.898 Å, c = 7.646 Å
α = 90.00°, β = 90.00°, γ = 90.00°
Fractional positions:
As: 0.000 0.000 0.000
As: 0.000 0.500 0.250
As: 0.500 0.000 0.750
As: 0.500 0.500 0.500
S: 0.184 0.250 0.125
S: 0.250 0.684 0.375
S: 0.250 0.816 0.875
S: 0.316 0.250 0.625
S: 0.684 0.750 0.625
S: 0.750 0.184 0.875
S: 0.750 0.316 0.375
S: 0.816 0.750 0.125
Cl: 0.000 0.000 0.500
Cl: 0.000 0.500 0.750
Cl: 0.500 0.000 0.250
Cl: 0.500 0.500 0.000


[28]
Entry from the Alexandria database: crystalline As2S8Cl at its relaxed geometry (PBE).

Summary:
**DOS(E_F)**: 0.51 states/eV per atom
**Mass density**: 1.7 g/cm³

a = 7.307 Å, b = 7.307 Å, c = 9.578 Å
α = 95.18°, β = 95.18°, γ = 55.74°
Fractional positions:
As: 0.197 0.197 0.029
As: 0.803 0.803 0.971
S: 0.000 0.472 0.191
S: 0.000 0.528 0.809
S: 0.225 0.225 0.361
S: 0.346 0.346 0.495
S: 0.472 0.000 0.191
S: 0.528 0.000 0.809
S: 0.654 0.654 0.505
S: 0.775 0.775 0.639
Cl: 0.000 0.000 0.000


These records have energy relative to the elements, uncorrected values of 274 555 174 1257 1216 470 695 780 97 221 462 463 82 398 304 103 414 148 388 781 698 997 714 -370 411 505 253 145 meV/atom, in the order they appear.